No. 1
Entry from Alexandria: an optimized crystal structure of BaIn2Sn2 (PBE).

extended XYZ file:
```
5
Lattice="-1.688 1.588 -4.394 2.902 -3.305 -2.309 -4.279 -5.331 -3.091" Properties=species:S:1:pos:R:3 pbc="T T T"
Sn -0.519 -1.889 -3.291
Sn -2.546 -5.158 -6.503
In -2.680 -2.301 -5.418
In -0.385 -4.747 -4.376
Ba 0.000 0.000 0.000
```

Calculated values
As for the space group: I4/mmm. As for the total energy: -3.412 eV per atom. For the formation energy from the elements, the calculation gives -0.3311 eV per atom. The density of states at the Fermi level is 1.956 states/eV per cell.

***

No. 2
Entry from Alexandria: an optimized crystal structure of Ba8In2Sn (PBE).

extended XYZ file:
```
11
Lattice="5.643 0.000 -1.717 -1.437 8.311 -4.720 0.083 0.303 10.404" Properties=species:S:1:pos:R:3 pbc="T T T"
Ba 0.623 1.270 2.047
Ba 3.105 3.712 0.073
Ba 4.744 5.988 5.457
Ba -0.454 2.626 -1.491
Ba 3.667 7.344 1.919
Ba 1.820 1.226 5.982
Ba 2.470 7.389 -2.016
Ba 1.185 4.903 3.893
In 4.177 2.763 3.593
In 0.113 5.852 0.372
Sn 2.822 0.000 -0.859
```

Calculated values
As for the space group: Immm. As for the total energy: -2.527 eV per atom. For the formation energy from the elements, the calculation gives -0.2671 eV per atom. The density of states at the Fermi level is 9.214 states/eV per cell.

***

No. 3
Entry from Alexandria: an optimized crystal structure of Ba2In5Sn3 (PBE).

extended XYZ file:
```
20
Lattice="7.605 0.000 0.000 3.803 9.384 0.589 3.803 2.029 9.181" Properties=species:S:1:pos:R:3 pbc="T T T"
Sn 5.704 0.000 0.000
Sn 7.605 6.197 7.171
Sn 7.605 5.216 2.599
Sn 11.408 8.041 5.017
Sn 3.803 3.372 4.753
Sn 1.901 0.000 0.000
In 9.507 2.872 2.459
In 9.507 8.541 7.311
In 7.605 0.582 2.282
In 11.408 9.069 9.547
In 9.507 5.707 4.885
In 3.803 2.344 0.223
In 5.704 2.872 2.459
In 5.704 8.541 7.311
In 7.605 10.831 7.488
In 5.704 5.707 4.885
Ba 11.408 5.288 8.268
Ba 7.605 2.429 5.820
Ba 3.803 6.125 1.502
Ba 7.605 8.984 3.949
```

Calculated values
As for the space group: Ibam. As for the total energy: -3.289 eV per atom. For the formation energy from the elements, the calculation gives -0.3342 eV per atom. The density of states at the Fermi level is 8.205 states/eV per cell.

***

No. 4
Entry from Alexandria: an optimized crystal structure of Ba2In15Sn2 (PBE).

extended XYZ file:
```
19
Lattice="-7.436 3.371 1.627 -3.933 -6.960 2.325 0.907 0.863 8.230" Properties=species:S:1:pos:R:3 pbc="T T T"
In -1.966 -3.480 1.162
In -3.718 1.686 0.814
In -2.508 -4.657 4.063
In -6.405 0.331 1.833
In -3.102 -3.386 7.027
In -7.154 -2.168 3.820
In -5.658 -4.357 5.494
In -3.308 -0.557 8.362
In -4.980 2.633 3.571
In -1.548 1.601 6.287
In 0.453 0.432 4.115
In -4.964 -3.919 2.119
In -7.360 0.661 5.155
In -0.517 -1.439 6.492
In -4.803 1.632 6.689
Ba -3.563 -0.928 4.149
Ba -6.898 -1.797 8.033
Sn -1.041 -0.271 1.213
Sn -9.420 -2.454 10.970
```

Calculated values
As for the space group: R-3m. As for the total energy: -2.916 eV per atom. For the formation energy from the elements, the calculation gives -0.1304 eV per atom. The density of states at the Fermi level is 10.293 states/eV per cell.

***

No. 5
Entry from Alexandria: an optimized crystal structure of BaIn12Sn6 (PBE).

extended XYZ file:
```
19
Lattice="-4.175 3.669 -6.721 6.001 -5.201 -3.608 -5.814 -5.398 3.623" Properties=species:S:1:pos:R:3 pbc="T T T"
In -6.627 -3.543 -0.518
In 2.638 -3.387 -6.189
In -5.984 0.013 -4.574
In -1.352 0.090 -7.409
In -2.637 -7.020 0.703
In -1.027 -5.541 -5.020
In -0.515 -3.521 -0.938
In -2.961 -1.389 -1.687
In -3.867 -5.589 -3.281
In 1.996 -6.943 -2.132
In -3.473 -3.409 -5.768
In -0.121 -1.342 -3.425
Sn 1.366 -4.283 -3.538
Sn -0.322 -2.563 -6.249
Sn -2.968 -0.505 -4.864
Sn -3.666 -4.367 -0.458
Sn -5.354 -2.647 -3.169
Sn -1.020 -6.425 -1.843
Ba 0.000 0.000 0.000
```

Calculated values
As for the space group: R-3m. As for the total energy: -3.102 eV per atom. For the formation energy from the elements, the calculation gives -0.0070 eV per atom. The density of states at the Fermi level is 9.282 states/eV per cell.

***

No. 6
Entry from Alexandria: an optimized crystal structure of BaIn2Sn (PBE).

extended XYZ file:
```
4
Lattice="4.056 0.000 0.000 0.000 4.056 0.000 0.000 0.000 7.771" Properties=species:S:1:pos:R:3 pbc="T T T"
Sn 2.028 2.028 0.000
In 0.000 0.000 1.534
In 0.000 0.000 6.237
Ba 2.028 2.028 3.886
```

Calculated values
As for the space group: P4/mmm. As for the total energy: -3.147 eV per atom. For the formation energy from the elements, the calculation gives -0.2962 eV per atom. The density of states at the Fermi level is 2.237 states/eV per cell.

***

No. 7
Entry from Alexandria: an optimized crystal structure of BaIn2Sn2 (PBE).

extended XYZ file:
```
10
Lattice="8.966 0.000 0.000 0.000 8.966 0.000 0.000 0.000 3.813" Properties=species:S:1:pos:R:3 pbc="T T T"
In 1.121 3.362 0.000
In 5.604 1.121 0.000
In 3.362 7.845 0.000
In 7.845 5.604 0.000
Sn 1.472 5.954 1.906
Sn 3.011 1.472 1.906
Sn 7.494 3.011 1.906
Sn 5.954 7.494 1.906
Ba 4.483 4.483 0.000
Ba 0.000 0.000 0.000
```

Calculated values
As for the space group: P4/mbm. As for the total energy: -3.337 eV per atom. For the formation energy from the elements, the calculation gives -0.2558 eV per atom. The density of states at the Fermi level is 4.005 states/eV per cell.

***

No. 8
Entry from Alexandria: an optimized crystal structure of Ba3InSn4 (PBE).

extended XYZ file:
```
8
Lattice="-0.882 -0.865 -5.192 -6.369 -1.734 1.370 1.036 10.011 0.900" Properties=species:S:1:pos:R:3 pbc="T T T"
In -0.441 -0.432 -2.596
Ba -5.209 4.029 -2.529
Ba -1.006 3.383 -0.393
Ba -3.185 -0.867 0.685
Sn -0.629 6.983 -1.056
Sn -3.306 6.254 -0.480
Sn -5.586 0.430 -1.866
Sn -2.909 1.158 -2.442
```

Calculated values
As for the space group: Immm. As for the total energy: -3.478 eV per atom. For the formation energy from the elements, the calculation gives -0.4128 eV per atom. The density of states at the Fermi level is 5.860 states/eV per cell.